Record 1
First-principles (PBE) data for a geometry-optimized CaY2Se structure, as listed in Alexandria.

Results
The calculation puts the energy above the most stable polymorph in this dataset at 459 meV per atom. The space group is No. 47.

a b c (Å): 3.8665 5.2075 5.7181
angles (deg): 90.00 90.00 90.00
Last column: nearest neighbours and their distance in Å.
Fractional coordinates of all 4 atoms:
Y  0.0000  0.0000  0.0000  4 Y 3.24, 4 Ca 3.45
Y  0.5000  0.5000  0.0000  4 Y 3.24, 4 Se 3.45
Ca  0.5000  0.0000  0.5000  4 Se 3.24, 4 Y 3.45
Se  0.0000  0.5000  0.5000  4 Ca 3.24, 4 Y 3.45



Record 2
First-principles (PBE) data for a geometry-optimized CaY2Se structure, as listed in Alexandria.

Results
The calculation puts the energy above the most stable polymorph in this dataset at 452 meV per atom. The space group is No. 139.

a b c (Å): 6.4951 6.4951 6.4951
angles (deg): 139.11 139.11 59.21
Last column: nearest neighbours and their distance in Å.
Fractional coordinates of all 4 atoms:
Y  0.0000  0.0000  0.0000  4 Y 3.21
Y  0.5000  0.5000  0.0000  4 Y 3.21
Ca  0.2500  0.7500  0.5000  4 Se 3.21
Se  0.7500  0.2500  0.5000  4 Ca 3.21



Record 3
First-principles (PBE) data for a geometry-optimized Ca3Y4Se8 structure, as listed in Alexandria.

Results
The space group is No. 12.

a b c (Å): 8.2208 8.2406 8.2406
angles (deg): 90.18 119.70 119.70
Last column: nearest neighbours and their distance in Å.
Fractional coordinates of all 15 atoms:
Ca  0.5000  0.5000  0.0000  6 Se 2.91-2.93
Ca  0.5000  0.0000  0.5000  6 Se 2.91-2.93
Ca  0.5000  0.5000  0.5000  6 Se 2.93-2.95
Y  0.5000  0.0000  0.0000  6 Se 2.87-2.90
Y  0.0000  0.5000  0.0000  6 Se 2.91-2.93
Y  0.0000  0.0000  0.0000  6 Se 2.88-2.91
Y  0.0000  0.0000  0.5000  6 Se 2.91-2.93
Se  0.4914  0.2423  0.2423  2 Y 2.87-2.88, 3 Ca 2.92-2.95
Se  0.0000  0.7515  0.2485  3 Y 2.90-2.91, 2 Ca 2.93
Se  0.9958  0.2483  0.2483  4 Y 2.90-2.92, 1 Ca 2.95
Se  0.5000  0.7514  0.2486  3 Y 2.90-2.93, 3 Ca 2.91-2.93
Se  0.5000  0.2486  0.7514  3 Y 2.90-2.93, 3 Ca 2.91-2.93
Se  0.0042  0.7517  0.7517  4 Y 2.90-2.92, 1 Ca 2.95
Se  0.0000  0.2485  0.7515  3 Y 2.90-2.91, 2 Ca 2.93
Se  0.5086  0.7577  0.7577  2 Y 2.87-2.88, 3 Ca 2.92-2.95



Record 4
First-principles (PBE) data for a geometry-optimized CaYSe2 structure, as listed in Alexandria.

Results
The calculation puts the energy above the most stable polymorph in this dataset at 641 meV per atom. The space group is No. 166.

a b c (Å): 8.8060 8.8060 8.8060
angles (deg): 28.57 28.57 28.57
Last column: nearest neighbours and their distance in Å.
Fractional coordinates of all 4 atoms:
Y  0.0000  0.0000  0.0000  2 Se 2.64
Ca  0.5000  0.5000  0.5000  6 Se 2.97
Se  0.8958  0.8958  0.8958  1 Y 2.64
Se  0.1042  0.1042  0.1042  1 Y 2.64



Record 5
First-principles (PBE) data for a geometry-optimized Ca5YSe6 structure, as listed in Alexandria.

Results
The space group is No. 12.

a b c (Å): 7.2479 7.2454 7.2441
angles (deg): 59.99 80.40 70.53
Last column: nearest neighbours and their distance in Å.
Fractional coordinates of all 12 atoms:
Y  0.0000  0.0000  0.0000  6 Se 2.92
Ca  0.5000  0.1678  0.6643  6 Se 2.96-2.99
Ca  0.0000  0.3335  0.3330  6 Se 2.96
Ca  0.5000  0.5000  0.0000  6 Se 2.95-3.00
Ca  0.0000  0.6665  0.6670  6 Se 2.96
Ca  0.5000  0.8322  0.3357  6 Se 2.96-2.99
Se  0.7529  0.0824  0.3282  1 Y 2.92, 5 Ca 2.95-2.99
Se  0.2471  0.5894  0.3282  1 Y 2.92, 5 Ca 2.95-2.99
Se  0.2472  0.2456  0.0000  1 Y 2.92, 5 Ca 2.96-3.00
Se  0.7528  0.7544  0.0000  1 Y 2.92, 5 Ca 2.96-3.00
Se  0.7529  0.4106  0.6718  1 Y 2.92, 5 Ca 2.95-2.99
Se  0.2471  0.9176  0.6718  1 Y 2.92, 5 Ca 2.95-2.99



Record 6
First-principles (PBE) data for a geometry-optimized CaY2Se structure, as listed in Alexandria.

Results
The calculation puts the energy above the most stable polymorph in this dataset at 16 meV per atom. The space group is No. 166.

a b c (Å): 9.9585 9.9585 9.9585
angles (deg): 22.47 22.47 22.47
Last column: nearest neighbours and their distance in Å.
Fractional coordinates of all 4 atoms:
Y  0.0230  0.0230  0.0230  3 Se 2.85
Y  0.4770  0.4770  0.4770  3 Se 2.85
Ca  0.2500  0.2500  0.2500  6 Y 3.82, 6 Ca 3.88
Se  0.7500  0.7500  0.7500  6 Y 2.85



Record 7
First-principles (PBE) data for a geometry-optimized CaYSe2 structure, as listed in Alexandria.

Results
The calculation puts the energy above the most stable polymorph in this dataset at 196 meV per atom. The space group is No. 38.

a b c (Å): 6.5915 6.5915 4.1711
angles (deg): 90.01 90.01 35.17
Last column: nearest neighbours and their distance in Å.
Fractional coordinates of all 4 atoms:
Y  0.4813  0.4813  0.3751  5 Se 2.87-2.89
Ca  0.7654  0.7654  0.8749  5 Se 2.89-2.95
Se  0.0001  0.0001  0.8751  4 Y 2.89, 1 Ca 2.95
Se  0.2532  0.2532  0.3748  1 Y 2.87, 4 Ca 2.89



Record 8
First-principles (PBE) data for a geometry-optimized CaY2Se structure, as listed in Alexandria.

Results
The calculation puts the energy above the most stable polymorph in this dataset at 0 meV per atom. The space group is No. 160.

a b c (Å): 10.0348 10.0348 10.0348
angles (deg): 22.06 22.06 22.06
Last column: nearest neighbours and their distance in Å.
Fractional coordinates of all 4 atoms:
Y  0.0179  0.0179  0.0179  3 Se 2.90
Y  0.2550  0.2550  0.2550  9 Y 3.59-3.84, 3 Ca 3.91
Ca  0.4787  0.4787  0.4787  3 Se 2.90
Se  0.7484  0.7484  0.7484  3 Ca 2.90, 3 Y 2.90



Record 9
First-principles (PBE) data for a geometry-optimized CaYSe2 structure, as listed in Alexandria.

Results
The calculation puts the energy above the most stable polymorph in this dataset at 0 meV per atom. The space group is No. 123.

a b c (Å): 4.1309 4.1309 5.8470
angles (deg): 90.00 90.00 90.00
Last column: nearest neighbours and their distance in Å.
Fractional coordinates of all 4 atoms:
Y  0.0000  0.0000  0.3751  6 Se 2.92
Ca  0.5000  0.5000  0.8749  6 Se 2.92
Se  0.0000  0.0000  0.8750  4 Ca 2.92, 2 Y 2.92
Se  0.5000  0.5000  0.3750  4 Y 2.92, 2 Ca 2.92



Record 10
First-principles (PBE) data for a geometry-optimized Ca2YSe3 structure, as listed in Alexandria.

Results
The calculation puts the energy above the most stable polymorph in this dataset at 5 meV per atom. The space group is No. 71.

a b c (Å): 4.1439 5.8810 7.2136
angles (deg): 114.06 106.69 90.00
Last column: nearest neighbours and their distance in Å.
Fractional coordinates of all 6 atoms:
Ca  0.8320  0.8320  0.1640  6 Se 2.94-2.96
Ca  0.1680  0.1680  0.8360  6 Se 2.94-2.96
Y  0.5000  0.5000  0.5000  6 Se 2.91-2.94
Se  0.8366  0.3366  0.1731  2 Y 2.91, 4 Ca 2.94-2.96
Se  0.1634  0.6634  0.8269  2 Y 2.91, 4 Ca 2.94-2.96
Se  0.5000  0.0000  0.5000  2 Y 2.94, 4 Ca 2.95



Record 11
First-principles (PBE) data for a geometry-optimized Ca8Yb3Se12 structure, as listed in Alexandria.

Results
The space group is No. 115.

a b c (Å): 5.9034 5.9034 17.8527
angles (deg): 90.00 90.00 90.00
Last column: nearest neighbours and their distance in Å.
Fractional coordinates of all 23 atoms:
Ca  0.0000  0.0000  0.3324  6 Se 2.91-2.99
Ca  0.0000  0.5000  0.5001  6 Se 2.95-3.02
Ca  0.0000  0.0000  0.6676  6 Se 2.91-2.99
Ca  0.0000  0.5000  0.8372  6 Se 2.95-3.04
Ca  0.5000  0.0000  0.1628  6 Se 2.95-3.04
Ca  0.5000  0.5000  0.3334  6 Se 2.95-3.01
Ca  0.5000  0.0000  0.4999  6 Se 2.95-3.02
Ca  0.5000  0.5000  0.6666  6 Se 2.95-3.01
Yb  0.0000  0.5000  0.1635  6 Se 2.86-2.99
Yb  0.5000  0.5000  0.0000  6 Se 2.94-2.95
Yb  0.5000  0.0000  0.8365  6 Se 2.86-2.99
Se  0.5000  0.5000  0.1645  3 Yb 2.94-2.95, 3 Ca 2.95-3.01
Se  0.5000  0.0000  0.3331  6 Ca 2.95-3.04
Se  0.0000  0.0000  0.1694  3 Ca 2.91-2.95, 2 Yb 2.95
Se  0.5000  0.5000  0.5000  6 Ca 2.95-2.97
Se  0.5000  0.0000  0.6690  5 Ca 2.95-3.02, 1 Yb 2.99
Se  0.0000  0.5000  0.3310  5 Ca 2.95-3.02, 1 Yb 2.99
Se  0.0000  0.0000  0.5000  6 Ca 2.95-2.99
Se  0.5000  0.5000  0.8355  3 Yb 2.94-2.95, 3 Ca 2.95-3.01
Se  0.5000  0.0000  0.9968  3 Yb 2.86-2.95, 1 Ca 2.96
Se  0.0000  0.5000  0.6669  6 Ca 2.95-3.04
Se  0.0000  0.0000  0.8306  3 Ca 2.91-2.95, 2 Yb 2.95
Se  0.0000  0.5000  0.0032  3 Yb 2.86-2.95, 1 Ca 2.96



Record 12
First-principles (PBE) data for a geometry-optimized CaZnSe structure, as listed in Alexandria.

Results
The calculation puts the energy above the most stable polymorph in this dataset at 130 meV per atom. The space group is No. 107.

a b c (Å): 5.8102 5.8099 3.6776
angles (deg): 71.55 71.55 36.90
Last column: nearest neighbours and their distance in Å.
Fractional coordinates of all 3 atoms:
Zn  0.6829  0.6829  0.3171  4 Se 3.02, 5 Ca 3.16-3.31
Ca  0.9866  0.9866  0.0134  4 Se 3.06-3.07, 5 Zn 3.16-3.31
Se  0.3305  0.3305  0.6695  4 Zn 3.02, 4 Ca 3.06-3.07



Record 13
First-principles (PBE) data for a geometry-optimized CaZnSe structure, as listed in Alexandria.

Results
The calculation puts the energy above the most stable polymorph in this dataset at 0 meV per atom. The space group is No. 156.

a b c (Å): 4.0836 4.0836 5.3328
angles (deg): 90.00 90.00 120.00
Last column: nearest neighbours and their distance in Å.
Fractional coordinates of all 3 atoms:
Zn  0.3333  0.6667  0.6226  3 Se 2.77
Ca  0.0000  0.0000  0.0280  3 Se 2.91, 3 Zn 3.20
Se  0.6667  0.3333  0.3494  3 Zn 2.77, 3 Ca 2.91



Record 14
First-principles (PBE) data for a geometry-optimized CaZn3Se4 structure, as listed in Alexandria.

Results
The space group is No. 215.

a b c (Å): 5.9570 5.9570 5.9570
angles (deg): 90.00 90.00 90.00
Last column: nearest neighbours and their distance in Å.
Fractional coordinates of all 8 atoms:
Ca  0.0000  0.0000  0.0000  4 Se 2.78
Zn  0.0000  0.5000  0.5000  4 Se 2.52
Zn  0.5000  0.5000  0.0000  4 Se 2.52
Zn  0.5000  0.0000  0.5000  4 Se 2.52
Se  0.7309  0.7309  0.2691  3 Zn 2.52, 1 Ca 2.78
Se  0.7309  0.2691  0.7309  3 Zn 2.52, 1 Ca 2.78
Se  0.2691  0.7309  0.7309  3 Zn 2.52, 1 Ca 2.78
Se  0.2691  0.2691  0.2691  3 Zn 2.52, 1 Ca 2.78



no.,formation energy without anion corrections (eV per atom)
1,-0.368
2,-0.375
3,-1.922
4,-1.243
5,-1.975
6,-0.811
7,-1.689
8,-0.827
9,-1.884
10,-1.923
11,-1.900
12,-0.754
13,-0.885
14,-0.912